Crystalline MgAlGaRu at its relaxed geometry, computed with PBE-GGA.

Cell and atoms, written as extended XYZ:
```
4
Lattice="0.0000 3.1156 3.1156 3.1156 0.0000 3.1156 3.1156 3.1156 0.0000" Properties=species:S:1:pos:R:3 pbc="T T T"
Mg 0.0000 0.0000 0.0000
Al 4.6734 4.6734 4.6734
Ga 1.5578 1.5578 1.5578
Ru 3.1156 3.1156 3.1156
```

Calculated values
ΔE_f	-211	meV/atom
theoretical density	6.10	g/cm³
space group	F-43m
calculated volume	60.5	Å³/cell
total magnetic moment	0.000	μB/f.u.